# LuNb2Si2P (GGA-PBE, optimized geometry)
data_LuNb2Si2P
_cell_length_a 3.903
_cell_length_b 3.903
_cell_length_c 7.729
_cell_angle_alpha 90.00
_cell_angle_beta 90.00
_cell_angle_gamma 90.00
_symmetry_space_group_name_H-M 'P 4 m m'
_symmetry_Int_Tables_number 99
loop_
_symmetry_equiv_pos_as_xyz
'x,y,z'
'-y,x,z'
'-x,-y,z'
'y,-x,z'
'-x,y,z'
'y,x,z'
'x,-y,z'
'-y,-x,z'
loop_
_atom_site_label
_atom_site_fract_x
_atom_site_fract_y
_atom_site_fract_z
Lu1 0.000 0.000 0.000
Nb1 0.000 0.500 0.642
Si1 0.000 0.000 0.380
Si2 0.500 0.500 0.887
P1 0.500 0.500 0.389
# - crystal system = tetragonal
# - VASP energy (eV per atom) = -7.1194
# - magnetic moment (Bohr magnetons per cell) = 0.0

# DyYAg2 (GGA-PBE, optimized geometry)
data_DyYAg2
_cell_length_a 4.761
_cell_length_b 3.705
_cell_length_c 11.020
_cell_angle_alpha 90.00
_cell_angle_beta 90.00
_cell_angle_gamma 90.00
_symmetry_space_group_name_H-M 'A m m 2'
_symmetry_Int_Tables_number 38
loop_
_symmetry_equiv_pos_as_xyz
'x,y,z'
'-x,-y,z'
'-x,y,z'
'x,-y,z'
'x,y+1/2,z+1/2'
'-x,-y+1/2,z+1/2'
'-x,y+1/2,z+1/2'
'x,-y+1/2,z+1/2'
loop_
_atom_site_label
_atom_site_fract_x
_atom_site_fract_y
_atom_site_fract_z
Dy1 0.000 0.000 0.000
Y1 0.500 0.000 0.285
Ag1 0.000 0.000 0.721
Ag2 0.500 0.000 0.562
# - crystal system = orthorhombic
# - magnetic moment (Bohr magnetons per cell) = 0.0
# - DFT formation energy (eV/atom) = -0.302